Entry 1:
! MgCoN | Alexandria | PBE-GGA | optimized geometry; values from VASP
&SYSTEM
  ibrav = 0, nat = 6, ntyp = 3
/
ATOMIC_SPECIES
Mg 24.30 Mg.upf
Co 58.93 Co.upf
N 14.01 N.upf
ATOMIC_POSITIONS crystal
Mg 0.1063 0.1063 0.3226
Mg 0.8937 0.8937 0.6774
Co 0.3440 0.3440 0.1433
Co 0.6560 0.6560 0.8567
N 0.2422 0.2422 0.7494
N 0.7578 0.7578 0.2506
CELL_PARAMETERS angstrom
4.8499 -1.4674 0.0000
4.8499 1.4674 0.0000
-1.8355 0.0000 4.8903
! Density of states at the Fermi level, states/eV per cell: 2.15
! ΔE_f (raw), meV per atom: -143


Entry 2:
! MgCoN | Alexandria | PBE-GGA | optimized geometry; values from VASP
&SYSTEM
  ibrav = 0, nat = 6, ntyp = 3
/
ATOMIC_SPECIES
Mg 24.30 Mg.upf
Co 58.93 Co.upf
N 14.01 N.upf
ATOMIC_POSITIONS crystal
Mg 0.2500 0.2500 0.1472
Mg 0.7500 0.7500 0.8528
Co 0.2500 0.7500 0.5000
Co 0.7500 0.2500 0.5000
N 0.2500 0.2500 0.7733
N 0.7500 0.7500 0.2267
CELL_PARAMETERS angstrom
3.2962 0.0000 0.0000
0.0000 3.2962 0.0000
0.0000 0.0000 5.8701
! Density of states at the Fermi level, states/eV per cell: 2.55
! ΔE_f (raw), meV per atom: 139


Entry 3:
! MgCoN2 | Alexandria | PBE-GGA | optimized geometry; values from VASP
&SYSTEM
  ibrav = 0, nat = 16, ntyp = 3
/
ATOMIC_SPECIES
Mg 24.30 Mg.upf
Co 58.93 Co.upf
N 14.01 N.upf
ATOMIC_POSITIONS crystal
Mg 0.0998 0.1214 0.0000
Mg 0.4002 0.6214 0.5000
Mg 0.5998 0.3786 0.0000
Mg 0.9002 0.8786 0.5000
Co 0.0783 0.6310 0.0117
Co 0.4217 0.1310 0.5117
Co 0.5783 0.8690 0.0117
Co 0.9217 0.3690 0.5117
N 0.0526 0.6005 0.3648
N 0.1071 0.1469 0.4228
N 0.3929 0.6469 0.9228
N 0.4474 0.1005 0.8648
N 0.5526 0.8995 0.3648
N 0.6071 0.3531 0.4228
N 0.8929 0.8531 0.9228
N 0.9474 0.3995 0.8648
CELL_PARAMETERS angstrom
5.6046 0.0000 0.0000
0.0000 6.4145 0.0000
0.0000 0.0000 5.0358
! Density of states at the Fermi level, states/eV per cell: 9.62
! ΔE_f (raw), meV per atom: -101


| no. | final energy (eV/atom) |
| --- | --- |
| 1 | -5.82 |
| 2 | -5.54 |
| 3 | -6.44 |